{
  "formula": "InSb3",
  "functional": "PBE",
  "state": "optimized geometry",
  "polymorph_energy_kj_per_mol_fu": 3,
  "raw_formation_energy_ev_per_atom": -0.002,
  "n_ef_per_ev_cell": 6.00,
  "cell": [[8.767, 0.000, 0.000], [0.000, 8.919, 0.000], [0.000, 0.000, 6.139]],
  "species": ["In", "In", "In", "In", "Sb", "Sb", "Sb", "Sb", "Sb", "Sb", "Sb", "Sb", "Sb", "Sb", "Sb", "Sb"],
  "fractional_positions": [[0.000, 0.235, 0.250], [0.000, 0.765, 0.750], [0.500, 0.265, 0.750], [0.500, 0.735, 0.250], [0.000, 0.267, 0.750], [0.000, 0.733, 0.250], [0.244, 0.493, 0.750], [0.244, 0.507, 0.250], [0.256, 0.007, 0.250], [0.256, 0.993, 0.750], [0.500, 0.233, 0.250], [0.500, 0.767, 0.750], [0.744, 0.007, 0.250], [0.744, 0.993, 0.750], [0.756, 0.493, 0.750], [0.756, 0.507, 0.250]]
}